First-principles (PBE) data for a relaxed YNb2Co2 crystal, as listed in the Alexandria database.

POSCAR file:
```
YNb2Co2
1.0
7.416 0.000 0.000
0.000 7.416 0.000
0.000 0.000 3.091
Y Nb Co
2 4 4
direct
0.000 0.000 0.000
0.500 0.500 0.000
0.158 0.342 0.500
0.342 0.842 0.500
0.658 0.158 0.500
0.842 0.658 0.500
0.122 0.622 0.000
0.378 0.122 0.000
0.622 0.878 0.000
0.878 0.378 0.000
```

Summary:
As for the offset from the most stable computed form: 174 meV per atom.

***

First-principles (PBE) data for a relaxed YNbCo10 crystal, as listed in the Alexandria database.

POSCAR file:
```
YNbCo10
1.0
3.975 0.000 0.000
0.000 4.775 0.000
0.000 0.000 8.299
Y Nb Co
1 1 10
direct
0.000 0.000 0.000
0.000 0.500 0.500
0.000 0.000 0.346
0.000 0.000 0.654
0.000 0.500 0.182
0.000 0.500 0.818
0.500 0.000 0.500
0.500 0.256 0.259
0.500 0.256 0.741
0.500 0.500 0.000
0.500 0.744 0.259
0.500 0.744 0.741
```

***

First-principles (PBE) data for a relaxed YNb2Co2 crystal, as listed in the Alexandria database.

POSCAR file:
```
YNb2Co2
1.0
-2.220 2.220 4.773
2.220 -2.220 4.773
2.220 2.220 -4.773
Y Nb Co
1 2 2
direct
0.000 0.000 0.000
0.353 0.353 0.000
0.647 0.647 0.000
0.250 0.750 0.500
0.750 0.250 0.500
```

Summary:
As for the offset from the most stable computed form: 285 meV per atom.

***

First-principles (PBE) data for a relaxed YNbCo4 crystal, as listed in the Alexandria database.

POSCAR file:
```
YNbCo4
1.0
0.000 3.471 3.471
3.471 0.000 3.471
3.471 3.471 0.000
Y Nb Co
1 1 4
direct
0.000 0.000 0.000
0.250 0.250 0.250
0.125 0.625 0.625
0.625 0.125 0.625
0.625 0.625 0.125
0.625 0.625 0.625
```

***

First-principles (PBE) data for a relaxed NbZn2Co2 crystal, as listed in the Alexandria database.

POSCAR file:
```
NbZn2Co2
1.0
6.810 0.000 0.000
0.000 6.810 0.000
0.000 0.000 2.890
Nb Zn Co
2 4 4
direct
0.000 0.000 0.000
0.500 0.500 0.000
0.159 0.341 0.500
0.341 0.841 0.500
0.659 0.159 0.500
0.841 0.659 0.500
0.137 0.637 0.000
0.363 0.137 0.000
0.637 0.863 0.000
0.863 0.363 0.000
```

***

First-principles (PBE) data for a relaxed NbZn3Co crystal, as listed in the Alexandria database.

POSCAR file:
```
NbZn3Co
1.0
4.378 0.000 0.000
0.000 4.378 0.000
0.000 0.000 4.378
Nb Zn Co
1 3 1
direct
0.000 0.000 0.000
0.000 0.500 0.500
0.500 0.000 0.500
0.500 0.500 0.000
0.500 0.500 0.500
```

Summary:
As for the offset from the most stable computed form: 0 meV per atom.

***

First-principles (PBE) data for a relaxed Nb2ZnCo3 crystal, as listed in the Alexandria database.

POSCAR file:
```
Nb2ZnCo3
1.0
4.904 0.000 0.000
-2.452 4.247 0.000
0.000 0.000 7.654
Nb Zn Co
4 2 6
direct
0.333 0.667 0.059
0.333 0.667 0.441
0.667 0.333 0.559
0.667 0.333 0.941
0.000 0.000 0.000
0.000 0.000 0.500
0.172 0.343 0.750
0.172 0.828 0.750
0.343 0.172 0.250
0.657 0.828 0.750
0.828 0.172 0.250
0.828 0.657 0.250
```

Summary:
As for the offset from the most stable computed form: 0 meV per atom.

***

First-principles (PBE) data for a relaxed Nb2Zn3Co4 crystal, as listed in the Alexandria database.

POSCAR file:
```
Nb2Zn3Co4
1.0
3.799 -1.990 0.000
3.799 1.990 0.000
-0.969 0.000 7.832
Nb Zn Co
2 3 4
direct
0.168 0.168 0.215
0.832 0.832 0.785
0.160 0.160 0.565
0.500 0.500 0.000
0.840 0.840 0.435
0.166 0.166 0.890
0.495 0.495 0.671
0.505 0.505 0.329
0.834 0.834 0.110
```

***

First-principles (PBE) data for a relaxed NbZn2Co crystal, as listed in the Alexandria database.

POSCAR file:
```
NbZn2Co
1.0
-3.512 3.512 2.474
3.512 -3.512 2.474
3.512 3.512 -2.474
Nb Zn Co
2 4 2
direct
0.000 0.000 0.000
0.750 0.250 0.500
0.160 0.625 0.035
0.375 0.410 0.535
0.590 0.125 0.965
0.875 0.840 0.465
0.250 0.750 0.500
0.500 0.500 0.000
```

Summary:
As for the offset from the most stable computed form: 354 meV per atom.

***

First-principles (PBE) data for a relaxed NbZnCo2 crystal, as listed in the Alexandria database.

POSCAR file:
```
NbZnCo2
1.0
-3.267 3.267 2.687
3.267 -3.267 2.687
3.267 3.267 -2.687
Nb Zn Co
2 2 4
direct
0.000 0.000 0.000
0.750 0.250 0.500
0.250 0.750 0.500
0.500 0.500 0.000
0.119 0.625 0.994
0.375 0.369 0.494
0.631 0.125 0.006
0.875 0.881 0.506
```

***

First-principles (PBE) data for a relaxed Nb2ZnCo crystal, as listed in the Alexandria database.

POSCAR file:
```
Nb2ZnCo
1.0
-3.551 3.551 2.601
3.551 -3.551 2.601
3.551 3.551 -2.601
Nb Zn Co
4 2 2
direct
0.085 0.125 0.460
0.375 0.915 0.040
0.665 0.625 0.540
0.875 0.335 0.960
0.250 0.750 0.500
0.500 0.500 0.000
0.000 0.000 0.000
0.750 0.250 0.500
```

***

First-principles (PBE) data for a relaxed Nb3ZnCo crystal, as listed in the Alexandria database.

POSCAR file:
```
Nb3ZnCo
1.0
4.590 0.000 0.000
0.000 4.590 0.000
0.000 0.000 4.590
Nb Zn Co
3 1 1
direct
0.000 0.000 0.500
0.000 0.500 0.000
0.500 0.000 0.000
0.500 0.500 0.500
0.000 0.000 0.000
```

Summary:
As for the offset from the most stable computed form: 0 meV per atom.

***

First-principles (PBE) data for a relaxed Nb2ZnCo crystal, as listed in the Alexandria database.

POSCAR file:
```
Nb2ZnCo
1.0
2.819 0.000 0.000
0.000 2.819 0.000
0.000 0.000 7.675
Nb Zn Co
2 1 1
direct
0.000 0.000 0.230
0.000 0.000 0.770
0.500 0.500 0.500
0.500 0.500 0.000
```

***

First-principles (PBE) data for a relaxed Nb2Zn2Co crystal, as listed in the Alexandria database.

POSCAR file:
```
Nb2Zn2Co
1.0
6.430 0.000 0.000
0.000 6.430 0.000
0.000 0.000 3.733
Nb Zn Co
4 4 2
direct
0.170 0.330 0.000
0.330 0.830 0.000
0.670 0.170 0.000
0.830 0.670 0.000
0.134 0.634 0.500
0.366 0.134 0.500
0.634 0.866 0.500
0.866 0.366 0.500
0.000 0.000 0.500
0.500 0.500 0.500
```

***

First-principles (PBE) data for a relaxed NbZn2Co crystal, as listed in the Alexandria database.

POSCAR file:
```
NbZn2Co
1.0
0.000 3.040 3.040
3.040 0.000 3.040
3.040 3.040 0.000
Nb Zn Co
1 2 1
direct
0.000 0.000 0.000
0.250 0.250 0.250
0.750 0.750 0.750
0.500 0.500 0.500
```

Summary:
As for the offset from the most stable computed form: 109 meV per atom.

***

First-principles (PBE) data for a relaxed Nb3ZnCo crystal, as listed in the Alexandria database.

POSCAR file:
```
Nb3ZnCo
1.0
4.657 0.000 0.000
0.000 4.657 0.000
0.000 0.000 4.657
Nb Zn Co
3 1 1
direct
0.000 0.000 0.500
0.000 0.500 0.000
0.500 0.000 0.000
0.000 0.000 0.000
0.500 0.500 0.500
```

Summary:
As for the offset from the most stable computed form: 907 meV per atom.

***

First-principles (PBE) data for a relaxed NbZn2Co crystal, as listed in the Alexandria database.

POSCAR file:
```
NbZn2Co
1.0
2.893 0.000 0.000
0.000 2.893 0.000
0.000 0.000 6.729
Nb Zn Co
1 2 1
direct
0.000 0.000 0.000
0.500 0.500 0.288
0.500 0.500 0.712
0.000 0.000 0.500
```

Summary:
As for the offset from the most stable computed form: 0 meV per atom.

***

First-principles (PBE) data for a relaxed Nb2ZnCo3 crystal, as listed in the Alexandria database.

POSCAR file:
```
Nb2ZnCo3
1.0
4.383 -4.046 0.000
4.383 4.046 0.000
0.000 0.000 4.850
Nb Zn Co
4 2 6
direct
0.093 0.596 0.750
0.404 0.907 0.750
0.596 0.093 0.250
0.907 0.404 0.250
0.400 0.600 0.250
0.600 0.400 0.750
0.064 0.936 0.250
0.246 0.246 0.000
0.246 0.246 0.500
0.754 0.754 0.000
0.754 0.754 0.500
0.936 0.064 0.750
```

Summary:
As for the offset from the most stable computed form: 217 meV per atom.

***

First-principles (PBE) data for a relaxed Nb2Zn2Co3 crystal, as listed in the Alexandria database.

POSCAR file:
```
Nb2Zn2Co3
1.0
4.241 0.000 0.000
-2.119 3.687 0.000
-0.007 -2.432 6.436
Nb Zn Co
2 2 3
direct
0.113 0.226 0.337
0.887 0.774 0.663
0.368 0.736 0.101
0.632 0.264 0.899
0.238 0.476 0.718
0.500 0.000 0.500
0.762 0.524 0.282
```

***

First-principles (PBE) data for a relaxed Nb2ZnCo crystal, as listed in the Alexandria database.

POSCAR file:
```
Nb2ZnCo
1.0
1.394 0.805 9.894
-1.394 0.805 9.894
0.000 -1.610 9.894
Nb Zn Co
2 1 1
direct
0.094 0.094 0.094
0.906 0.906 0.906
0.000 0.000 0.000
0.500 0.500 0.500
```

***

First-principles (PBE) data for a relaxed NbZn2Co crystal, as listed in the Alexandria database.

POSCAR file:
```
NbZn2Co
1.0
1.362 0.786 9.650
-1.362 0.786 9.650
0.000 -1.572 9.650
Nb Zn Co
1 2 1
direct
0.000 0.000 0.000
0.097 0.097 0.097
0.903 0.903 0.903
0.500 0.500 0.500
```

Summary:
As for the offset from the most stable computed form: 342 meV per atom.

***

First-principles (PBE) data for a relaxed NbZnCo2 crystal, as listed in the Alexandria database.

POSCAR file:
```
NbZnCo2
1.0
3.085 0.000 0.000
0.000 3.085 0.000
0.000 0.000 5.567
Nb Zn Co
1 1 2
direct
0.000 0.000 0.000
0.000 0.000 0.500
0.500 0.500 0.251
0.500 0.500 0.749
```

***

First-principles (PBE) data for a relaxed Nb3Zn2Co8 crystal, as listed in the Alexandria database.

POSCAR file:
```
Nb3Zn2Co8
1.0
2.337 1.349 9.255
-2.337 1.349 9.255
0.000 -2.698 9.255
Nb Zn Co
3 2 8
direct
0.000 0.000 0.000
0.187 0.187 0.187
0.813 0.813 0.813
0.360 0.360 0.360
0.640 0.640 0.640
0.233 0.733 0.733
0.267 0.267 0.767
0.267 0.767 0.267
0.275 0.275 0.275
0.725 0.725 0.725
0.733 0.233 0.733
0.733 0.733 0.233
0.767 0.267 0.267
```

***

First-principles (PBE) data for a relaxed Nb2ZnCo crystal, as listed in the Alexandria database.

POSCAR file:
```
Nb2ZnCo
1.0
3.940 0.000 0.000
0.000 3.940 0.000
0.000 0.000 3.903
Nb Zn Co
2 1 1
direct
0.000 0.500 0.000
0.500 0.000 0.000
0.000 0.000 0.500
0.500 0.500 0.500
```

***

First-principles (PBE) data for a relaxed ZrNbZnCo crystal, as listed in the Alexandria database.

POSCAR file:
```
ZrNbZnCo
1.0
0.000 3.212 3.212
3.212 0.000 3.212
3.212 3.212 0.000
Zr Nb Zn Co
1 1 1 1
direct
0.000 0.000 0.000
0.500 0.500 0.500
0.250 0.250 0.250
0.750 0.750 0.750
```

***

First-principles (PBE) data for a relaxed ZrNbCo2 crystal, as listed in the Alexandria database.

POSCAR file:
```
ZrNbCo2
1.0
3.049 0.000 0.000
0.000 3.049 0.000
0.000 0.000 6.607
Zr Nb Co
1 1 2
direct
0.000 0.000 0.000
0.000 0.000 0.500
0.500 0.500 0.286
0.500 0.500 0.714
```

Summary:
As for the offset from the most stable computed form: 103 meV per atom.

***

What did we get for energy of formation from the pure elements? Answer: 5.40, -1.23, 16.14, -7.27, 5.94, 60.54, -11.87, -11.74, 34.32, 37.16, 28.11, 65.91, -5.76, 12.80, 10.66, 153.40, 0.15, 9.07, -11.07, 38.01, 33.18, -11.18, 13.20, -1.71, -6.02, -14.36 kJ/mol of atoms, in the order shown.
What did we get for density of states at the Fermi level? Answer: 25.983, 17.135, 6.081, 7.926, 9.816, 7.633, 16.871, 4.355, 8.215, 4.805, 5.984, 6.294, 2.393, 3.847, 2.702, 18.332, 3.391, 16.115, 3.368, 4.005, 3.155, 2.813, 17.547, 4.337, 1.695, 5.212 states/eV per cell, in the order shown.